Density functional theory data (PBE) for a geometry-optimized NaLa9Ge6O26 structure.

a = 9.9753 Å, b = 9.9753 Å, c = 7.3106 Å
α = 90.00°, β = 90.00°, γ = 120.00°
Closest atoms and distances in Å follow each position.
Space group P3 (No. 143)
Unique sites:
Na 0.0000 0.0000 0.0000 x1  6 O 2.49-2.62
La 0.0000 0.0000 0.5079 x1  6 O 2.48-2.57
La 0.3333 0.6667 0.0108 x1  6 O 2.45-2.56
La 0.3333 0.6667 0.5091 x1  6 O 2.45-2.57
La 0.4266 0.1008 0.7608 x3  6 O 2.36-2.61
La 0.4372 0.3405 0.2575 x3  5 O 2.33-2.53
Ge 0.0398 0.3027 0.2578 x3  4 O 1.76-1.78
Ge 0.0644 0.7069 0.7582 x3  4 O 1.74-1.79
O 0.0126 0.5816 0.9509 x3  1 Ge 1.78
O 0.0140 0.5791 0.5663 x3  1 Ge 1.79
O 0.0597 0.8553 0.2586 x3  1 Ge 1.76
O 0.1642 0.5071 0.2602 x3  1 Ge 1.78
O 0.1841 0.1565 0.7537 x3  1 Ge 1.74
O 0.1925 0.4639 0.7611 x3  1 Ge 1.79
O 0.3190 0.0820 0.4545 x3  1 Ge 1.78
O 0.3578 0.0967 0.0800 x3  1 Ge 1.77
O 0.6667 0.3333 0.2818 x1  3 La 2.33
O 0.6667 0.3333 0.7634 x1  3 La 2.36

Calculated values
The calculation puts the energy relative to the elements, uncorrected at -2.748 eV/atom. The density of states at the Fermi level comes out at 0.00 states/eV/cell. As for the crystal system: trigonal.